A plane-wave DFT calculation with PBE was carried out for a geometry-optimized LiCdAu3 structure.

Values from the calculation:
Total energy in Ha/atom: -0.1007
Crystal system: orthorhombic
Total magnetization in μB per cell: 0.000
Calculated formation energy in eV/atom: -0.21
Space group: No. 63

Geometry as POSCAR:
```
LiCdAu3
1.0
3.011 0.000 0.000
-1.505 7.238 0.000
0.000 0.000 9.306
Au Li Cd
6 2 2
Direct
0.121 0.243 0.750 Au
0.333 0.667 0.995 Au
0.667 0.333 0.495 Au
0.879 0.757 0.250 Au
0.667 0.333 0.005 Au
0.333 0.667 0.505 Au
0.792 0.584 0.750 Li
0.208 0.416 0.250 Li
0.000 0.000 0.500 Cd
0.000 0.000 0.000 Cd
```

---

A plane-wave DFT calculation with PBE was carried out for a geometry-optimized ScInB2W structure.

Values from the calculation:
Total energy in Ha/atom: -0.1842
Crystal system: tetragonal
Total magnetization in μB per cell: 0.000
Calculated formation energy in eV/atom: 2.06
Space group: No. 123

Geometry as POSCAR:
```
ScInB2W
1.0
4.374 0.000 0.000
0.000 4.973 0.000
0.000 0.000 4.374
B W In Sc
2 1 1 1
Direct
0.000 0.000 0.500 B
0.500 0.000 0.000 B
0.000 0.500 0.000 W
0.500 0.500 0.500 In
0.000 0.000 0.000 Sc
```

---

A plane-wave DFT calculation with PBE was carried out for a geometry-optimized Tb2Pr2In3 structure.

Values from the calculation:
Total energy in Ha/atom: -0.1558
Crystal system: monoclinic
Total magnetization in μB per cell: 0.000
Calculated formation energy in eV/atom: -0.38
Space group: No. 12

Geometry as POSCAR:
```
Tb2Pr2In3
1.0
5.076 0.000 0.000
-2.538 5.519 1.561
0.000 -1.099 7.093
Tb Pr In
2 2 3
Direct
0.788 0.577 0.850 Tb
0.212 0.423 0.150 Tb
0.092 0.184 0.680 Pr
0.908 0.816 0.320 Pr
0.500 0.000 0.000 In
0.383 0.767 0.626 In
0.617 0.233 0.374 In
```

---

A plane-wave DFT calculation with PBE was carried out for a geometry-optimized La3NiBr2 structure.

Values from the calculation:
Total energy in Ha/atom: -0.1844
Crystal system: monoclinic
Total magnetization in μB per cell: 0.000
Formation energy without anion corrections in eV/atom: -1.034
Space group: No. 12

Geometry as POSCAR:
```
La3NiBr2
1.0
-7.259 -0.222 -1.535
-2.275 -7.541 -0.096
-4.963 0.212 5.494
La Br Ni
6 4 2
Direct
0.070 0.791 0.365 La
0.930 0.209 0.635 La
0.565 0.209 0.365 La
0.435 0.791 0.635 La
0.297 0.204 0.000 La
0.703 0.796 0.000 La
0.846 0.500 0.309 Br
0.000 0.000 0.000 Br
0.500 0.500 0.000 Br
0.154 0.500 0.691 Br
0.668 0.000 0.665 Ni
0.332 0.000 0.335 Ni
```

---

Which value of total energy does entry 3 give? -0.1558 Ha/atom